Density functional theory data (PBE) for a relaxed SnAsH3 crystal.

Cell: 3.9592 3.9592 3.9592 Å, 90.00 90.00 90.00°
With the nearest neighbours (Å) after each atom.
Sites, in units of the cell vectors:
H 0.0000 0.0000 0.5000  2 Sn 1.98
H 0.5000 0.0000 0.0000  2 Sn 1.98
H 0.0000 0.5000 0.0000  2 Sn 1.98
As 0.5000 0.5000 0.5000  12 H 2.80
Sn 0.0000 0.0000 0.0000  6 H 1.98

Values from the calculation:
Total magnetization in Bohr magnetons per cell: 0.0
Energy relative to the lowest polymorph listed for this composition in meV per atom: 218.6
DFT total energy in eV/atom: -2.932
Symmetry: Pm-3m
Crystal system: cubic

Density functional theory data (PBE) for a relaxed SnAsH3 crystal.

Cell: 3.8792 3.8792 3.8792 Å, 90.00 90.00 90.00°
With the nearest neighbours (Å) after each atom.
Sites, in units of the cell vectors:
H 0.0000 0.5000 0.0000  2 As 1.94
H 0.5000 0.0000 0.0000  2 As 1.94
H 0.0000 0.0000 0.5000  2 As 1.94
Sn 0.5000 0.5000 0.5000  12 H 2.74
As 0.0000 0.0000 0.0000  6 H 1.94

Values from the calculation:
Total magnetization in Bohr magnetons per cell: 0.0
Energy relative to the lowest polymorph listed for this composition in meV per atom: 0.0
DFT total energy in eV/atom: -3.150
Symmetry: Pm-3m
Crystal system: cubic

Density functional theory data (PBE) for a relaxed Sn3AsH crystal.

Cell: 4.7442 4.7442 4.7442 Å, 90.00 90.00 90.00°
With the nearest neighbours (Å) after each atom.
Sites, in units of the cell vectors:
As 0.5000 0.5000 0.5000  12 Sn 3.35
Sn 0.0000 0.0000 0.5000  2 H 2.37
Sn 0.0000 0.5000 0.0000  2 H 2.37
Sn 0.5000 0.0000 0.0000  2 H 2.37
H 0.0000 0.0000 0.0000  6 Sn 2.37

Values from the calculation:
Total magnetization in Bohr magnetons per cell: 0.0
Energy relative to the lowest polymorph listed for this composition in meV per atom: 0.0
DFT total energy in eV/atom: -3.670
Symmetry: Pm-3m
Crystal system: cubic